# 1
Ac6Nd2Y3 | Alexandria via LeMat-Bulk | PBE | relaxed; energy of formation from the pure elements = 0.18 eV/atom; crystal system = monoclinic
1.0
3.3244 -5.7375 0.0000
3.3244 5.7375 0.0000
-2.1127 0.0000 11.9278
Ac Nd Y
6 2 3
direct
0.0865 0.4186 0.7502 Ac
0.2455 0.2455 0.2536 Ac
0.4186 0.0865 0.7502 Ac
0.5814 0.9135 0.2498 Ac
0.7545 0.7545 0.7464 Ac
0.9135 0.5814 0.2498 Ac
0.3307 0.6693 0.5000 Nd
0.6693 0.3307 0.5000 Nd
0.1658 0.8342 0.0000 Y
0.5000 0.5000 0.0000 Y
0.8342 0.1658 0.0000 Y


# 2
Ac2NdY8 | Alexandria via LeMat-Bulk | PBE | relaxed; energy of formation from the pure elements = 0.08 eV/atom; crystal system = triclinic
1.0
6.7469 0.0000 0.0000
-0.6850 6.8886 0.0000
-1.3711 -3.5783 8.2871
Ac Nd Y
2 1 8
direct
0.2492 0.3935 0.0532 Ac
0.7508 0.6065 0.9468 Ac
0.5000 0.5000 0.5000 Nd
0.0014 0.6290 0.3740 Y
0.1216 0.0582 0.2787 Y
0.2882 0.8207 0.9117 Y
0.3890 0.0777 0.6648 Y
0.6110 0.9223 0.3352 Y
0.7118 0.1793 0.0883 Y
0.8784 0.9418 0.7213 Y
0.9986 0.3710 0.6260 Y


# 3
AcNd7Y4 | Alexandria via LeMat-Bulk | PBE | relaxed; energy of formation from the pure elements = 0.26 eV/atom; crystal system = monoclinic
1.0
6.1889 -3.1101 0.0000
6.1889 3.1101 0.0000
-6.1580 0.0000 11.2423
Ac Nd Y
1 7 4
direct
0.0000 0.0000 0.0000 Ac
0.1252 0.1252 0.4961 Nd
0.2792 0.2792 0.3362 Nd
0.2964 0.2964 0.0821 Nd
0.5000 0.5000 0.0000 Nd
0.7036 0.7036 0.9179 Nd
0.7208 0.7208 0.6638 Nd
0.8748 0.8748 0.5039 Nd
0.1441 0.1441 0.7755 Y
0.4280 0.4280 0.6820 Y
0.5720 0.5720 0.3180 Y
0.8559 0.8559 0.2245 Y


# 4
Ac2Nd4Y | Alexandria via LeMat-Bulk | PBE | relaxed; energy of formation from the pure elements = 0.58 eV/atom; crystal system = tetragonal
1.0
-2.8651 2.8651 9.2105
2.8651 -2.8651 9.2105
2.8651 2.8651 -9.2105
Ac Nd Y
2 4 1
direct
0.1272 0.1272 0.0000 Ac
0.8728 0.8728 0.0000 Ac
0.0000 0.5000 0.5000 Nd
0.3241 0.3241 0.0000 Nd
0.5000 0.0000 0.5000 Nd
0.6759 0.6759 0.0000 Nd
0.5000 0.5000 0.0000 Y


What are the V values for these records? In order: 455.0 385.2 432.8 302.4 Å³ per cell.
What are the density of states at the Fermi level values for these records? In order: 14.06 18.75 17.76 10.66 states/eV/f.u..